No. 1
A plane-wave DFT calculation with PBE-GGA was carried out for La2CuMo after structural relaxation.

Geometry as CIF:
```
data_La2CuMo
_chemical_formula_sum 'La8 Cu4 Mo4'
_space_group_name_H-M_alt 'I -4 2 d'
_space_group_IT_number 122
_space_group_name_Hall 'I -4 2bw'
_cell_length_a 7.875
_cell_length_b 7.875
_cell_length_c 6.256
_cell_angle_alpha 90.00
_cell_angle_beta 90.00
_cell_angle_gamma 90.00
loop_
_atom_site_label
_atom_site_fract_x
_atom_site_fract_y
_atom_site_fract_z
La1 0.244 0.750 0.125
Cu1 0.000 0.000 0.500
Mo1 0.000 0.000 0.000
```

Calculated values
DOS(E_F): 16.15 states/eV/cell
Energy above the most stable polymorph in this dataset: 305 meV/atom
Size of the total moment: 0.239 μB per atom
Energy of formation: 565.9 meV/atom

No. 2
A plane-wave DFT calculation with PBE-GGA was carried out for LaCu2Mo after structural relaxation.

Geometry as CIF:
```
data_LaCu2Mo
_chemical_formula_sum 'La4 Cu8 Mo4'
_space_group_name_H-M_alt 'F -4 3 m'
_space_group_IT_number 216
_space_group_name_Hall 'F -4 2 3'
_cell_length_a 6.664
_cell_length_b 6.664
_cell_length_c 6.664
_cell_angle_alpha 90.00
_cell_angle_beta 90.00
_cell_angle_gamma 90.00
loop_
_atom_site_label
_atom_site_fract_x
_atom_site_fract_y
_atom_site_fract_z
La1 0.000 0.000 0.000
Cu1 0.000 0.000 0.500
Cu2 0.250 0.250 0.750
Mo1 0.250 0.250 0.250
```

Calculated values
DOS(E_F): 11.94 states/eV/cell
Energy above the most stable polymorph in this dataset: 334 meV/atom
Size of the total moment: 0.624 μB per atom
Energy of formation: 593.7 meV/atom

No. 3
A plane-wave DFT calculation with PBE-GGA was carried out for LaCuMo2 after structural relaxation.

Geometry as CIF:
```
data_LaCuMo2
_chemical_formula_sum 'La4 Cu4 Mo8'
_space_group_name_H-M_alt 'F m -3 m'
_space_group_IT_number 225
_space_group_name_Hall '-F 4 2 3'
_cell_length_a 6.528
_cell_length_b 6.528
_cell_length_c 6.528
_cell_angle_alpha 90.00
_cell_angle_beta 90.00
_cell_angle_gamma 90.00
loop_
_atom_site_label
_atom_site_fract_x
_atom_site_fract_y
_atom_site_fract_z
La1 0.000 0.000 0.000
Cu1 0.000 0.000 0.500
Mo1 0.250 0.250 0.250
```

Calculated values
DOS(E_F): 14.16 states/eV/cell
Energy above the most stable polymorph in this dataset: 523 meV/atom
Size of the total moment: 0.000 μB per atom
Energy of formation: 775.9 meV/atom

No. 4
A plane-wave DFT calculation with PBE-GGA was carried out for LaCuMo after structural relaxation.

Geometry as CIF:
```
data_LaCuMo
_chemical_formula_sum 'La4 Cu4 Mo4'
_space_group_name_H-M_alt 'F -4 3 m'
_space_group_IT_number 216
_space_group_name_Hall 'F -4 2 3'
_cell_length_a 6.573
_cell_length_b 6.573
_cell_length_c 6.573
_cell_angle_alpha 90.00
_cell_angle_beta 90.00
_cell_angle_gamma 90.00
loop_
_atom_site_label
_atom_site_fract_x
_atom_site_fract_y
_atom_site_fract_z
La1 0.000 0.000 0.000
Cu1 0.250 0.250 0.250
Mo1 0.000 0.000 0.500
```

Calculated values
DOS(E_F): 17.54 states/eV/cell
Energy above the most stable polymorph in this dataset: 365 meV/atom
Size of the total moment: 0.868 μB per atom
Energy of formation: 797.4 meV/atom

No. 5
A plane-wave DFT calculation with PBE-GGA was carried out for La2CuMo after structural relaxation.

Geometry as CIF:
```
data_La2CuMo
_chemical_formula_sum 'La2 Cu1 Mo1'
_space_group_name_H-M_alt 'P 1 m 1'
_space_group_IT_number 6
_space_group_name_Hall 'P -2y'
_cell_length_a 3.589
_cell_length_b 4.847
_cell_length_c 5.638
_cell_angle_alpha 90.00
_cell_angle_beta 103.14
_cell_angle_gamma 90.00
loop_
_atom_site_label
_atom_site_fract_x
_atom_site_fract_y
_atom_site_fract_z
La1 0.000 0.000 0.000
La2 0.178 0.500 0.550
Cu1 0.651 0.000 0.422
Mo1 0.673 0.500 0.103
```

Calculated values
DOS(E_F): 3.81 states/eV/cell
Energy above the most stable polymorph in this dataset: 0 meV/atom
Size of the total moment: 0.000 μB per atom
Energy of formation: 260.8 meV/atom

No. 6
A plane-wave DFT calculation with PBE-GGA was carried out for LaCuMo2 after structural relaxation.

Geometry as CIF:
```
data_LaCuMo2
_chemical_formula_sum 'La1 Cu1 Mo2'
_space_group_name_H-M_alt 'P 4/m m m'
_space_group_IT_number 123
_space_group_name_Hall '-P 4 2'
_cell_length_a 2.800
_cell_length_b 2.800
_cell_length_c 9.182
_cell_angle_alpha 90.00
_cell_angle_beta 90.00
_cell_angle_gamma 90.00
loop_
_atom_site_label
_atom_site_fract_x
_atom_site_fract_y
_atom_site_fract_z
La1 0.000 0.000 0.000
Cu1 0.000 0.000 0.500
Mo1 0.500 0.500 0.298
```

Calculated values
DOS(E_F): 4.94 states/eV/cell
Energy above the most stable polymorph in this dataset: 310 meV/atom
Size of the total moment: 0.000 μB per atom
Energy of formation: 563.1 meV/atom